Entry 1:
DFT (PBE) results for a relaxed SrZn2SiIr crystal.

Output
Relative energy among the computed polymorphs ... 45.0 meV per atom
Volume ... 22.007 Å³ per atom
Uncorrected energy ... -4.02 eV per atom
DOS(E_F) ... 0.64 states/eV per atom

Cell and atoms, written as extended XYZ:
```
5
Lattice="4.8922 0.0000 0.0000 0.0000 4.8922 0.0000 0.0000 0.0000 4.5976" Properties=species:S:1:pos:R:3 pbc="T T T"
Sr 0.0000 0.0000 0.0000
Zn 0.0000 2.4461 2.2988
Zn 2.4461 0.0000 2.2988
Si 2.4461 2.4461 0.0000
Ir 2.4461 2.4461 2.2988
```

=====

Entry 2:
DFT (PBE) results for a relaxed Be5PdRh4 crystal.

Output
Volume ... 10.912 Å³ per atom
Uncorrected energy ... -5.96 eV per atom
Calculated formation energy ... -633 meV/atom
DOS(E_F) ... 0.59 states/eV per atom

Cell and atoms, written as extended XYZ:
```
10
Lattice="2.7965 0.0000 0.0000 0.0000 2.7965 0.0000 0.0000 0.0000 13.9539" Properties=species:S:1:pos:R:3 pbc="T T T"
Be 0.0000 0.0000 0.0000
Be 0.0000 0.0000 2.7772
Be 0.0000 0.0000 5.4622
Be 0.0000 0.0000 8.4917
Be 0.0000 0.0000 11.1767
Pd 1.3982 1.3982 6.9769
Rh 1.3982 1.3982 1.3873
Rh 1.3982 1.3982 4.1676
Rh 1.3982 1.3982 9.7863
Rh 1.3982 1.3982 12.5666
```

=====

Entry 3:
DFT (PBE) results for a relaxed Ge2IBr3 crystal.

Output
Relative energy among the computed polymorphs ... 96.1 meV per atom
Volume ... 43.998 Å³ per atom
Uncorrected energy ... -3.04 eV per atom
DOS(E_F) ... 0.00 states/eV per atom

Cell and atoms, written as extended XYZ:
```
12
Lattice="13.5151 -2.0673 0.0000 13.5151 2.0673 0.0000 -1.3907 0.0000 9.4484" Properties=species:S:1:pos:R:3 pbc="T T T"
Ge 1.3973 0.0000 1.4562
Ge 7.3574 0.0000 6.4808
Ge 18.2822 0.0000 2.9676
Ge 24.2422 0.0000 7.9922
I 7.8990 0.0000 9.0791
I 17.7406 0.0000 0.3693
Br -0.2935 0.0000 7.9469
Br 6.5042 0.0000 2.9293
Br 10.5762 0.0000 6.1479
Br 15.0634 0.0000 3.3005
Br 19.1354 0.0000 6.5191
Br 25.9331 0.0000 1.5015
```

=====

Entry 4:
DFT (PBE) results for a relaxed TaMnCo2Pb crystal.

Output
Volume ... 17.454 Å³ per atom
Uncorrected energy ... -6.82 eV per atom
Calculated formation energy ... 969 meV/atom
DOS(E_F) ... 1.30 states/eV per atom

Cell and atoms, written as extended XYZ:
```
5
Lattice="4.3803 0.0000 0.0000 0.0000 4.3803 0.0000 0.0000 0.0000 4.5484" Properties=species:S:1:pos:R:3 pbc="T T T"
Ta 0.0000 0.0000 0.0000
Mn 0.0000 0.0000 2.2742
Co 0.0000 2.1901 2.2742
Co 2.1901 0.0000 2.2742
Pb 2.1901 2.1901 0.0000
```